(1)
## ScSbBr2 (PBE-GGA)

Data for a relaxed structure of ScSbBr2.

Properties
total moment	0.000	μB/atom
ΔE_f (raw)	-0.86	eV/atom
polymorph energy (0 for the lowest one)	0.056	eV/atom

abc: 3.5325 3.5325 33.8529
angles: 90.00 90.00 120.00
Space group R-3m (No. 166, hexagonal axes)
Symmetry-distinct sites (fractional):
1 Sc 0.0000 0.0000 0.0000 (multiplicity 3)
2 Sb 0.0000 0.0000 0.5000 (multiplicity 3)
3 Br 0.0000 0.0000 0.3851 (multiplicity 6)



(2)
## ScSb2Br (PBE-GGA)

Data for a relaxed structure of ScSb2Br.

Properties
total moment	0.000	μB/atom
ΔE_f (raw)	-0.61	eV/atom
polymorph energy (0 for the lowest one)	0.009	eV/atom

abc: 16.528 3.460 4.731
angles: 90.00 102.28 90.00
Space group Cm (No. 8)
Symmetry-distinct sites (fractional):
1 Sc 0.000 0.000 0.000 (multiplicity 2)
2 Sb 0.053 0.500 0.546 (multiplicity 2)
3 Sb 0.174 0.500 0.222 (multiplicity 2)
4 Br 0.374 0.000 0.887 (multiplicity 2)



(3)
## ScSb2Br (PBE-GGA)

Data for a relaxed structure of ScSb2Br.

Properties
total moment	0.000	μB/atom
ΔE_f (raw)	-0.24	eV/atom
polymorph energy (0 for the lowest one)	0.381	eV/atom

abc: 6.116 8.833 4.484
angles: 90.00 114.73 90.00
Space group C2/m (No. 12)
Symmetry-distinct sites (fractional):
1 Sc 0.000 0.000 0.000 (multiplicity 2)
2 Sb 0.250 0.250 0.500 (multiplicity 4)
3 Br 0.000 0.500 0.000 (multiplicity 2)



(4)
## ScSb2Br (PBE-GGA)

Data for a relaxed structure of ScSb2Br.

Properties
total moment	0.000	μB/atom
ΔE_f (raw)	-0.62	eV/atom
polymorph energy (0 for the lowest one)	0.000	eV/atom

abc: 3.947 3.806 8.685
angles: 90.00 103.06 90.00
Space group Pm (No. 6)
Symmetry-distinct sites (fractional):
1 Sc 0.000 0.000 0.000 (multiplicity 1)
2 Sb 0.173 0.000 0.347 (multiplicity 1)
3 Sb 0.586 0.500 0.173 (multiplicity 1)
4 Br 0.889 0.500 0.777 (multiplicity 1)



(5)
## ScSbBr3 (PBE-GGA)

Data for a relaxed structure of ScSbBr3.

Properties
total moment	0.600	μB/atom
ΔE_f (raw)	-0.66	eV/atom
polymorph energy (0 for the lowest one)	0.000	eV/atom

abc: 5.411 5.411 5.411
angles: 90.00 90.00 90.00
Space group Pm-3m (No. 221)
Symmetry-distinct sites (fractional):
1 Sc 0.000 0.000 0.000 (multiplicity 1)
2 Sb 0.500 0.500 0.500 (multiplicity 1)
3 Br 0.000 0.000 0.500 (multiplicity 3)



(6)
## ScSb2Br (PBE-GGA)

Data for a relaxed structure of ScSb2Br.

Properties
total moment	0.000	μB/atom
ΔE_f (raw)	-0.36	eV/atom
polymorph energy (0 for the lowest one)	0.264	eV/atom

abc: 4.299 4.299 11.020
angles: 90.00 90.00 90.00
Space group I4/mmm (No. 139)
Symmetry-distinct sites (fractional):
1 Sc 0.000 0.000 0.000 (multiplicity 2)
2 Sb 0.000 0.500 0.250 (multiplicity 4)
3 Br 0.000 0.000 0.500 (multiplicity 2)



(7)
## ScSbBr2 (PBE-GGA)

Data for a relaxed structure of ScSbBr2.

Properties
total moment	0.001	μB/atom
ΔE_f (raw)	-0.70	eV/atom
polymorph energy (0 for the lowest one)	0.217	eV/atom

abc: 3.6453 3.6453 28.6410
angles: 90.00 90.00 120.00
Space group R3m (No. 160, hexagonal axes)
Symmetry-distinct sites (fractional):
1 Sc 0.0000 0.0000 0.0000 (multiplicity 3)
2 Sb 0.0000 0.0000 0.7426 (multiplicity 3)
3 Br 0.0000 0.0000 0.2732 (multiplicity 3)
4 Br 0.0000 0.0000 0.4881 (multiplicity 3)



(8)
## ScSbBr2 (PBE-GGA)

Data for a relaxed structure of ScSbBr2.

Properties
total moment	0.000	μB/atom
ΔE_f (raw)	-0.52	eV/atom
polymorph energy (0 for the lowest one)	0.391	eV/atom

abc: 6.581 6.608 9.979
angles: 90.00 90.00 90.00
Space group Fmmm (No. 69)
Symmetry-distinct sites (fractional):
1 Sc 0.000 0.000 0.000 (multiplicity 4)
2 Sb 0.000 0.000 0.500 (multiplicity 4)
3 Br 0.250 0.000 0.250 (multiplicity 8)



(9)
## ScSb2Br (PBE-GGA)

Data for a relaxed structure of ScSb2Br.

Properties
total moment	0.000	μB/atom
ΔE_f (raw)	-0.53	eV/atom
polymorph energy (0 for the lowest one)	0.094	eV/atom

abc: 3.971 5.477 13.656
angles: 90.00 90.00 90.00
Space group Imm2 (No. 44)
Symmetry-distinct sites (fractional):
1 Sc 0.000 0.000 0.000 (multiplicity 2)
2 Sb 0.000 0.000 0.404 (multiplicity 2)
3 Sb 0.000 0.500 0.056 (multiplicity 2)
4 Br 0.000 0.500 0.635 (multiplicity 2)



(10)
## ScSb2Br (PBE-GGA)

Data for a relaxed structure of ScSb2Br.

Properties
total moment	0.053	μB/atom
ΔE_f (raw)	-0.44	eV/atom
polymorph energy (0 for the lowest one)	0.180	eV/atom

abc: 3.378 4.953 12.709
angles: 90.00 90.00 90.00
Space group Immm (No. 71)
Symmetry-distinct sites (fractional):
1 Sc 0.000 0.000 0.000 (multiplicity 2)
2 Sb 0.000 0.500 0.289 (multiplicity 4)
3 Br 0.000 0.000 0.500 (multiplicity 2)



(11)
## ScSbBr2 (PBE-GGA)

Data for a relaxed structure of ScSbBr2.

Properties
total moment	0.000	μB/atom
ΔE_f (raw)	-0.27	eV/atom
polymorph energy (0 for the lowest one)	0.644	eV/atom

abc: 7.299 7.299 7.299
angles: 90.00 90.00 90.00
Space group Fm-3m (No. 225)
Symmetry-distinct sites (fractional):
1 Sc 0.000 0.000 0.000 (multiplicity 4)
2 Sb 0.000 0.000 0.500 (multiplicity 4)
3 Br 0.250 0.250 0.250 (multiplicity 8)



(12)
## ScSbBr2 (PBE-GGA)

Data for a relaxed structure of ScSbBr2.

Properties
total moment	0.000	μB/atom
ΔE_f (raw)	-0.74	eV/atom
polymorph energy (0 for the lowest one)	0.175	eV/atom

abc: 3.383 5.203 15.483
angles: 90.00 90.00 90.00
Space group Imm2 (No. 44)
Symmetry-distinct sites (fractional):
1 Sc 0.000 0.000 0.000 (multiplicity 2)
2 Sb 0.000 0.500 0.339 (multiplicity 2)
3 Br 0.000 0.000 0.469 (multiplicity 2)
4 Br 0.000 0.500 0.631 (multiplicity 2)



| no. | total energy (eV/atom) |
| --- | --- |
| 1 | -4.3061 |
| 2 | -4.6769 |
| 3 | -4.3047 |
| 4 | -4.6857 |
| 5 | -3.7530 |
| 6 | -4.4213 |
| 7 | -4.1452 |
| 8 | -3.9716 |
| 9 | -4.5921 |
| 10 | -4.5055 |
| 11 | -3.7183 |
| 12 | -4.1878 |